No. 1
Here is LiDyAu4 after structural relaxation from Alexandria. Energies are from PBE-GGA.

The calculation puts the magnetization at 0.0 Bohr magnetons per cell. As for the crystal system: monoclinic. As for the excess energy over the best structure of this formula in the dataset: 0.000 eV/atom. For the formation energy, the calculation gives -57 kJ per mole of atoms. The calculation puts the total energy at -3.86 eV/atom. As for the mass density: 13.52 g/cm³.

The space group is C2/m (No. 12) and the conventional cell measures 5.168, 8.896 and 5.116 Å, with angles of 90.00, 90.28 and 90.00 degrees. The distinct sites, in fractional coordinates, are Li at (0.000, 0.000, 0.000), Dy at (0.000, 0.500, 0.500), Au at (0.000, 0.162, 0.500) and Au at (0.000, 0.330, 0.000).


No. 2
Here is Li2Dy3Au6 after structural relaxation from Alexandria. Energies are from PBE-GGA.

The calculation puts the magnetization at 0.0 Bohr magnetons per cell. As for the crystal system: tetragonal. For the formation energy, the calculation gives -59 kJ per mole of atoms. The calculation puts the total energy at -4.00 eV/atom. As for the mass density: 12.14 g/cm³.

The space group is I4/mmm (No. 139) and the conventional cell measures 4.487, 4.487 and 22.883 Å, with angles of 90.00, 90.00 and 90.00 degrees. The distinct sites, in fractional coordinates, are Li at (0.000, 0.000, 0.052), Dy at (0.000, 0.000, 0.308), Dy at (0.000, 0.000, 0.500), Au at (0.000, 0.000, 0.183) and Au at (0.000, 0.500, 0.096).


No. 3
Here is Li2DyAu6 after structural relaxation from Alexandria. Energies are from PBE-GGA.

The calculation puts the magnetization at 0.0 Bohr magnetons per cell. As for the crystal system: monoclinic. For the formation energy, the calculation gives -49 kJ per mole of atoms. The calculation puts the total energy at -3.63 eV/atom. As for the mass density: 13.52 g/cm³.

The space group is C2/c (No. 15) and the conventional cell measures 8.946, 14.650 and 5.093 Å, with angles of 90.00, 90.68 and 90.00 degrees. The distinct sites, in fractional coordinates, are Li at (0.250, 0.087, 0.000), Dy at (0.000, 0.250, 0.250), Au at (0.090, 0.077, 0.508), Au at (0.090, 0.423, 0.508) and Au at (0.168, 0.250, 0.758).


No. 4
Here is LiDyAu6 after structural relaxation from Alexandria. Energies are from PBE-GGA.

The calculation puts the magnetization at 0.0 Bohr magnetons per cell. As for the crystal system: trigonal. As for the excess energy over the best structure of this formula in the dataset: 0.228 eV/atom. For the formation energy, the calculation gives -26 kJ per mole of atoms. The calculation puts the total energy at -3.55 eV/atom. As for the mass density: 12.81 g/cm³.

The space group is R-3m (No. 166, hexagonal axes) and the conventional cell measures 7.8014, 7.8014 and 9.9686 Å, with angles of 90.00, 90.00 and 120.00 degrees. The distinct sites, in fractional coordinates, are Li at (0.0000, 0.0000, 0.0000), Dy at (0.0000, 0.0000, 0.5000) and Au at (0.0946, 0.5473, 0.8775).


No. 5
Here is Li2DyAu4 after structural relaxation from Alexandria. Energies are from PBE-GGA.

The calculation puts the magnetization at 0.0 Bohr magnetons per cell. As for the crystal system: tetragonal. For the formation energy, the calculation gives -52 kJ per mole of atoms. The calculation puts the total energy at -3.61 eV/atom. As for the mass density: 11.58 g/cm³.

The space group is I4/mmm (No. 139) and the conventional cell measures 4.328, 4.328 and 14.765 Å, with angles of 90.00, 90.00 and 90.00 degrees. The distinct sites, in fractional coordinates, are Li at (0.000, 0.000, 0.245), Dy at (0.000, 0.000, 0.500) and Au at (0.000, 0.500, 0.138).


No. 6
Here is LiDy5Au6 after structural relaxation from Alexandria. Energies are from PBE-GGA.

The calculation puts the magnetization at 0.0 Bohr magnetons per cell. As for the crystal system: monoclinic. For the formation energy, the calculation gives -77 kJ per mole of atoms. The calculation puts the total energy at -4.52 eV/atom. As for the mass density: 12.26 g/cm³.

The space group is C2/m (No. 12) and the conventional cell measures 8.738, 15.083 and 5.008 Å, with angles of 90.00, 124.78 and 90.00 degrees. The distinct sites, in fractional coordinates, are Li at (0.000, 0.000, 0.000), Dy at (0.000, 0.157, 0.500), Dy at (0.000, 0.331, 0.000), Dy at (0.000, 0.500, 0.500), Au at (0.239, 0.500, 0.237) and Au at (0.242, 0.328, 0.741).


No. 7
Here is Li4DyAu2 after structural relaxation from Alexandria. Energies are from PBE-GGA.

The calculation puts the magnetization at 0.0 Bohr magnetons per cell. As for the crystal system: tetragonal. For the formation energy, the calculation gives -45 kJ per mole of atoms. The calculation puts the total energy at -3.15 eV/atom. As for the mass density: 7.57 g/cm³.

The space group is P4_2/mnm (No. 136) and the conventional cell measures 7.672, 7.672 and 4.357 Å, with angles of 90.00, 90.00 and 90.00 degrees. The distinct sites, in fractional coordinates, are Li at (0.099, 0.351, 0.000), Dy at (0.000, 0.000, 0.500) and Au at (0.212, 0.788, 0.000).


No. 8
Here is Li3Dy2Au4 after structural relaxation from Alexandria. Energies are from PBE-GGA.

The calculation puts the magnetization at 0.0 Bohr magnetons per cell. As for the crystal system: orthorhombic. As for the excess energy over the best structure of this formula in the dataset: 0.005 eV/atom. For the formation energy, the calculation gives -60 kJ per mole of atoms. The calculation puts the total energy at -3.74 eV/atom. As for the mass density: 10.89 g/cm³.

The space group is Cmce (No. 64) and the conventional cell measures 5.781, 15.273 and 7.830 Å, with angles of 90.00, 90.00 and 90.00 degrees. The distinct sites, in fractional coordinates, are Li at (0.000, 0.000, 0.000), Li at (0.250, 0.215, 0.250), Dy at (0.000, 0.114, 0.587), Au at (0.000, 0.184, 0.958) and Au at (0.250, 0.047, 0.250).


No. 9
Here is Li3Dy2Au4 after structural relaxation from Alexandria. Energies are from PBE-GGA.

The calculation puts the magnetization at 0.0 Bohr magnetons per cell. As for the crystal system: triclinic. As for the excess energy over the best structure of this formula in the dataset: 0.000 eV/atom. For the formation energy, the calculation gives -61 kJ per mole of atoms. The calculation puts the total energy at -3.75 eV/atom. As for the mass density: 10.31 g/cm³.

The space group is P-1 (No. 2) and the conventional cell measures 4.455, 4.464 and 10.583 Å, with angles of 89.69, 89.86 and 60.17 degrees. The distinct sites, in fractional coordinates, are Li at (0.000, 0.000, 0.000), Li at (0.333, 0.332, 0.446), Dy at (0.333, 0.335, 0.782), Au at (0.000, 0.003, 0.634) and Au at (0.333, 0.332, 0.071).


No. 10
Here is Li7DyAu4 after structural relaxation from Alexandria. Energies are from PBE-GGA.

The calculation puts the magnetization at 0.0 Bohr magnetons per cell. As for the crystal system: monoclinic. For the formation energy, the calculation gives -26 kJ per mole of atoms. The calculation puts the total energy at -2.86 eV/atom. As for the mass density: 7.76 g/cm³.

The space group is C2/m (No. 12) and the conventional cell measures 13.338, 4.737 and 8.529 Å, with angles of 90.00, 127.50 and 90.00 degrees. The distinct sites, in fractional coordinates, are Li at (0.000, 0.000, 0.000), Li at (0.062, 0.500, 0.417), Li at (0.186, 0.000, 0.633), Li at (0.217, 0.500, 0.875), Dy at (0.000, 0.500, 0.000), Au at (0.060, 0.000, 0.776) and Au at (0.193, 0.000, 0.338).


No. 11
Here is Li2DyAu2 after structural relaxation from Alexandria. Energies are from PBE-GGA.

The calculation puts the magnetization at 0.0 Bohr magnetons per cell. As for the crystal system: monoclinic. For the formation energy, the calculation gives -59 kJ per mole of atoms. The calculation puts the total energy at -3.61 eV/atom. As for the mass density: 9.73 g/cm³.

The space group is C2/m (No. 12) and the conventional cell measures 7.612, 7.619 and 7.708 Å, with angles of 90.00, 119.48 and 90.00 degrees. The distinct sites, in fractional coordinates, are Li at (0.000, 0.198, 0.000), Li at (0.197, 0.500, 0.998), Dy at (0.249, 0.500, 0.500) and Au at (0.108, 0.248, 0.717).


No. 12
Here is LiDy4Au5 after structural relaxation from Alexandria. Energies are from PBE-GGA.

The calculation puts the magnetization at 0.0 Bohr magnetons per cell. As for the crystal system: tetragonal. For the formation energy, the calculation gives -77 kJ per mole of atoms. The calculation puts the total energy at -4.47 eV/atom. As for the mass density: 12.44 g/cm³.

The space group is P4/mmm (No. 123) and the conventional cell measures 3.554, 3.554 and 17.360 Å, with angles of 90.00, 90.00 and 90.00 degrees. The distinct sites, in fractional coordinates, are Li at (0.000, 0.000, 0.000), Dy at (0.000, 0.000, 0.182), Dy at (0.000, 0.000, 0.395), Au at (0.500, 0.500, 0.083), Au at (0.500, 0.500, 0.290) and Au at (0.500, 0.500, 0.500).


Which value of mass density does entry 9 give? 10.31 g/cm³